## BaPaI2O8 (PBE)

Data for an optimized crystal structure of BaPaI2O8.

Output
Its uncorrected energy is -6.002 eV/atom. The calculation puts the raw formation energy at -1.49 eV per atom. The space group is P-3m1.

Unit cell a=6.523 b=6.523 c=7.381 alpha=90.00 beta=90.00 gamma=120.00
Atoms (fractional coordinates):
Ba  0.000  0.000  0.000
Pa  0.000  0.000  0.500
I  0.333  0.667  0.301
I  0.667  0.333  0.699
O  0.150  0.299  0.310
O  0.150  0.850  0.310
O  0.299  0.150  0.690
O  0.333  0.667  0.057
O  0.667  0.333  0.943
O  0.701  0.850  0.310
O  0.850  0.150  0.690
O  0.850  0.701  0.690